Density functional theory data (SCAN) for CaInRh2 at its PBEsol-relaxed geometry.

Values from the calculation:
Space group: Cm, No. 8
Mass density, Mg/m³: 8.6
Total magnetization, μB per formula unit: 0.0
ΔH_f (0 K), eV/atom: -0.3563

Lattice parameters (Å, degrees): 5.343 5.343 4.706 107.94 107.94 33.17
Fractional positions:
Ca 0.000 0.000 0.000
In 0.218 0.218 0.633
Rh 0.475 0.475 0.495
Rh 0.758 0.758 0.157